No. 1
# CaSCl

A relaxed structure of CaSCl (GGA-PBE, Alexandria).

a b c (Å): 4.1101 5.3441 7.9785
angles (deg): 79.27 75.10 89.89
Closest atoms and distances in Å follow each position.
Fractional coordinates of all 6 atoms:
Ca  0.0000  0.0000  0.0000  4 Cl 2.68-2.74, 2 S 2.95
Ca  0.2054  0.6882  0.5921  2 Cl 2.76-2.77, 4 S 2.80-3.00
S  0.6387  0.0166  0.7238  1 S 2.11
S  0.7352  0.3580  0.5339  1 S 2.11
Cl  0.0290  0.5093  0.9522  3 Ca 2.68-2.76
Cl  0.3814  0.9195  0.2386  3 Ca 2.74-2.77

Results
Symmetry: No. 1
Calculated total energy: -0.327 Ry/atom
Energy relative to the elements, uncorrected: -1797 meV/atom

=====

No. 2
# Mg6VZn

A relaxed structure of Mg6VZn (GGA-PBE, Alexandria).

a b c (Å): 4.9711 6.1811 6.1811
angles (deg): 58.85 90.00 90.00
Closest atoms and distances in Å follow each position.
Fractional coordinates of all 8 atoms:
Mg  0.0000  0.0000  0.0000  10 Mg 3.00-3.18, 2 V 3.01
Mg  0.0000  0.0035  0.5126  8 Mg 2.98-3.18, 2 V 3.04, 2 Zn 3.05
Mg  0.0000  0.4992  0.4992  10 Mg 3.02-3.16, 2 Zn 3.03
Mg  0.0000  0.5126  0.0035  8 Mg 2.98-3.18, 2 V 3.04, 2 Zn 3.05
Mg  0.5000  0.3405  0.8439  8 Mg 3.02-3.09, 2 Zn 3.05-3.13, 2 V 3.08-3.10
Mg  0.5000  0.8439  0.3405  8 Mg 3.02-3.09, 2 Zn 3.05-3.13, 2 V 3.08-3.10
V  0.5000  0.8431  0.8431  10 Mg 3.01-3.10, 2 Zn 3.04
Zn  0.5000  0.3382  0.3382  10 Mg 3.03-3.13, 2 V 3.04

Results
Symmetry: No. 38
Calculated total energy: -0.173 Ry/atom